(1)
Density functional theory data (PBE) for an optimized crystal structure of Li3CuS2.

a = 8.2022 Å, b = 8.2022 Å, c = 8.2022 Å
α = 122.48°, β = 122.48°, γ = 85.76°
Element x y z (fractional)
1 S 0.1059 0.8762 0.7702
2 Li 0.8750 0.1250 0.2500
3 Li 0.2837 0.2837 0.5674
4 Li 0.2837 0.7163 0.0000
5 Cu 0.3836 0.8836 0.5000
6 Li 0.0337 0.5337 0.0674
7 Li 0.7163 0.7163 0.4326
8 S 0.1059 0.3357 0.2298
9 Li 0.4663 0.9663 0.9326
10 Li 0.8750 0.6250 0.7500
11 Cu 0.6336 0.6336 0.0000
12 Cu 0.1164 0.6164 0.5000
13 Li 0.7163 0.2837 0.0000
14 S 0.6262 0.3559 0.2702
15 S 0.0857 0.3559 0.7298
16 Cu 0.3664 0.3664 0.0000
17 Li 0.3750 0.1250 0.2500
18 Li 0.8750 0.1250 0.7500
19 Li 0.4663 0.5337 0.5000
20 Li 0.0337 0.9663 0.5000
21 S 0.6441 0.3738 0.7298
22 S 0.6441 0.9143 0.2702
23 S 0.1238 0.8941 0.2298
24 S 0.6643 0.8941 0.7702

* density: 2634 kg/m³
* DOS at the Fermi energy: 0.00 states/eV/f.u.
* total energy: -3.99 eV/atom
* space group: I4_1/amd, No. 141



(2)
Density functional theory data (PBE) for an optimized crystal structure of Li3SiSb.

a = 5.0297 Å, b = 5.0297 Å, c = 5.0297 Å
α = 90.00°, β = 90.00°, γ = 90.00°
Element x y z (fractional)
1 Li 0.5000 0.0000 0.0000
2 Si 0.5000 0.5000 0.5000
3 Sb 0.0000 0.0000 0.0000
4 Li 0.0000 0.0000 0.5000
5 Li 0.0000 0.5000 0.0000

* density: 2227 kg/m³
* DOS at the Fermi energy: 2.61 states/eV/f.u.
* space group: Pm-3m, No. 221
* polymorph energy (0 for the lowest one): 158 meV per atom